This record from Alexandria via LeMat-Bulk describes a geometry-optimized PuNiRh3 structure. The functional is GGA-PBE.

* Fermi-level density of states: 11.9 states/eV/f.u.
* calculated density: 11.75 g/cm3
* magnetization: 9.45 Bohr magnetons per cell
* ΔH_f (0 K): 0.049 eV/atom

abc: 5.7542 7.3296 8.1922
angles: 90.00 90.00 90.00
Space group Immm (No. 71)
Unique sites:
Pu  0.0000  0.0000  0.2494 (multiplicity 4)
Ni  0.1947  0.5000  0.5000 (multiplicity 4)
Rh  0.0000  0.5000  0.2268 (multiplicity 4)
Rh  0.2457  0.3159  0.0000 (multiplicity 8)



This record from Alexandria via LeMat-Bulk describes a geometry-optimized NiHRh3 structure. The functional is GGA-PBE.

* energy above the most stable polymorph in this dataset: 0.0 kJ/mol of formula units
* Fermi-level density of states: 4.8 states/eV/f.u.
* calculated density: 10.65 g/cm3
* magnetization: 2.14 Bohr magnetons per cell

abc: 3.8580 3.8580 3.8580
angles: 90.00 90.00 90.00
Space group Pm-3m (No. 221)
Unique sites:
Ni  0.0000  0.0000  0.0000 (multiplicity 1)
H  0.5000  0.5000  0.5000 (multiplicity 1)
Rh  0.0000  0.5000  0.5000 (multiplicity 3)



This record from Alexandria via LeMat-Bulk describes a geometry-optimized AlReNi2 structure. The functional is GGA-PBE.

* Fermi-level density of states: 4.2 states/eV/f.u.
* calculated density: 10.81 g/cm3
* magnetization: 2.85 Bohr magnetons per cell
* ΔH_f (0 K): -0.065 eV/atom

abc: 3.6957 3.6957 7.4370
angles: 90.00 90.00 90.00
Space group I-4m2 (No. 119)
Unique sites:
Al  0.0000  0.0000  0.0000 (multiplicity 2)
Re  0.0000  0.5000  0.2500 (multiplicity 2)
Ni  0.0000  0.0000  0.5000 (multiplicity 2)
Ni  0.0000  0.5000  0.7500 (multiplicity 2)



This record from Alexandria via LeMat-Bulk describes a geometry-optimized La3SmO6 structure. The functional is GGA-PBE.

* Fermi-level density of states: 0.0 states/eV/f.u.
* calculated density: 6.09 g/cm3
* magnetization: 0.00 Bohr magnetons per cell
* E: -8.3657 eV per atom

abc: 10.2283 10.2283 11.9822
angles: 90.00 90.00 120.00
Space group R-3 (No. 148, hexagonal axes)
Unique sites:
La  0.0377  0.7721  0.2108 (multiplicity 18)
Sm  0.0000  0.0000  0.0000 (multiplicity 3)
Sm  0.0000  0.0000  0.5000 (multiplicity 3)
O  0.0276  0.8414  0.8732 (multiplicity 18)
O  0.0307  0.8137  0.4051 (multiplicity 18)



This record from Alexandria via LeMat-Bulk describes a geometry-optimized Hf3P2N structure. The functional is GGA-PBE.

* Fermi-level density of states: 2.8 states/eV/f.u.
* calculated density: 10.42 g/cm3
* magnetization: 0.00 Bohr magnetons per cell
* E: -9.2086 eV per atom

abc: 9.4419 7.2461 5.6982
angles: 90.00 90.00 90.00
Space group Cmcm (No. 63)
Unique sites:
Hf  0.0000  0.1390  0.2500 (multiplicity 4)
Hf  0.1674  0.5000  0.0000 (multiplicity 8)
P  0.1417  0.1850  0.7500 (multiplicity 8)
N  0.0000  0.4328  0.2500 (multiplicity 4)



This record from Alexandria via LeMat-Bulk describes a geometry-optimized Sc2TlTcPt structure. The functional is GGA-PBE.

* Fermi-level density of states: 4.9 states/eV/f.u.
* calculated density: 7.62 g/cm3
* magnetization: 2.18 Bohr magnetons per cell
* ΔH_f (0 K): 0.525 eV/atom

abc: 5.0112 5.0112 5.0971
angles: 90.00 90.00 90.00
Space group P4/mmm (No. 123)
Unique sites:
Sc  0.0000  0.5000  0.0000 (multiplicity 2)
Tl  0.0000  0.0000  0.5000 (multiplicity 1)
Tc  0.5000  0.5000  0.5000 (multiplicity 1)
Pt  0.0000  0.0000  0.0000 (multiplicity 1)